#1
Computed, not measured: a geometry-optimized Ca2FeCo structure at the PBE-GGA level of DFT.

Properties
The density of states at the Fermi level comes out at 2.139 states/eV/atom. The magnetic moment comes out at 3.450 μB/f.u.

Cell lengths 4.863, 4.862, 3.597 Å; angles 90.00, 90.00, 90.00 degrees
Site moments in Bohr magnetons follow the coordinates.
Positions (direct):
Co  0.500  0.000  0.500  1.33
Ca  0.000  0.000  0.000  -0.10
Ca  0.500  0.500  0.000  -0.10
Fe  0.000  0.500  0.500  2.74


#2
Computed, not measured: a geometry-optimized Ca2FeCo structure at the PBE-GGA level of DFT.

Properties
The density of states at the Fermi level comes out at 1.071 states/eV/atom. The magnetic moment comes out at 3.635 μB/f.u.

Cell lengths 5.920, 5.920, 4.871 Å; angles 65.67, 65.67, 34.65 degrees
Site moments in Bohr magnetons follow the coordinates.
Positions (direct):
Co  0.449  0.449  0.551  1.44
Ca  0.014  0.014  0.986  -0.08
Ca  0.227  0.227  0.273  -0.07
Fe  0.810  0.810  0.690  2.58


#3
Computed, not measured: a geometry-optimized Ca2FeCo structure at the PBE-GGA level of DFT.

Properties
The density of states at the Fermi level comes out at 0.870 states/eV/atom. The magnetic moment comes out at 4.091 μB/f.u.

Cell lengths 3.313, 3.313, 8.332 Å; angles 90.00, 90.00, 90.00 degrees
Site moments in Bohr magnetons follow the coordinates.
Positions (direct):
Ca  0.000  0.000  0.924  -0.06
Ca  0.500  0.500  0.326  -0.03
Fe  0.500  0.500  0.667  2.75
Co  0.000  0.000  0.583  1.61


Name the most stable of them. #3.


#1
Computed, not measured: a geometry-optimized CaFe2Co2 structure at the PBE-GGA level of DFT.

Properties
The density of states at the Fermi level comes out at 0.743 states/eV/atom. The magnetic moment comes out at 8.153 μB/f.u.

Cell lengths 7.221, 7.221, 2.730 Å; angles 90.00, 90.00, 90.00 degrees
Site moments in Bohr magnetons follow the coordinates.
Positions (direct):
Fe  0.855  0.355  0.500  2.71
Fe  0.645  0.855  0.500  2.71
Fe  0.355  0.145  0.500  2.71
Fe  0.145  0.645  0.500  2.71
Co  0.859  0.641  0.000  1.46
Co  0.641  0.141  0.000  1.47
Co  0.359  0.859  0.000  1.47
Co  0.141  0.359  0.000  1.46
Ca  0.000  0.000  0.000  -0.06
Ca  0.500  0.500  0.000  -0.06


#2
Computed, not measured: a geometry-optimized CaFe2Co2 structure at the PBE-GGA level of DFT.

Properties
The density of states at the Fermi level comes out at 0.819 states/eV/atom. The magnetic moment comes out at 7.514 μB/f.u.

Cell lengths 3.950, 3.950, 5.666 Å; angles 69.60, 69.60, 90.00 degrees
Site moments in Bohr magnetons follow the coordinates.
Positions (direct):
Fe  0.750  0.250  0.500  2.56
Fe  0.250  0.750  0.500  2.56
Co  0.619  0.619  0.763  1.31
Co  0.381  0.381  0.237  1.31
Ca  0.000  0.000  0.000  -0.07


Name the most stable of them. #2.


#1
Computed, not measured: a geometry-optimized CaFeCo structure at the PBE-GGA level of DFT.

Properties
The density of states at the Fermi level comes out at 1.224 states/eV/atom. The magnetic moment comes out at 3.171 μB/f.u.

Cell lengths 3.863, 3.863, 4.424 Å; angles 90.00, 90.00, 120.00 degrees
Site moments in Bohr magnetons follow the coordinates.
Positions (direct):
Fe  0.333  0.667  0.500  2.29
Ca  0.000  0.000  0.000  -0.07
Co  0.667  0.333  0.500  1.08


#2
Computed, not measured: a geometry-optimized CaFeCo structure at the PBE-GGA level of DFT.

Properties
The density of states at the Fermi level comes out at 0.956 states/eV/atom. The magnetic moment comes out at 3.687 μB/f.u.

Cell lengths 5.664, 5.664, 3.205 Å; angles 73.56, 73.57, 32.87 degrees
Site moments in Bohr magnetons follow the coordinates.
Positions (direct):
Co  0.716  0.716  0.284  1.48
Fe  0.284  0.284  0.716  2.60
Ca  0.001  0.001  0.999  -0.11


#3
Computed, not measured: a geometry-optimized CaFeCo structure at the PBE-GGA level of DFT.

Properties
The density of states at the Fermi level comes out at 0.852 states/eV/atom. The magnetic moment comes out at 4.185 μB/f.u.

Cell lengths 4.338, 4.338, 4.338 Å; angles 60.00, 60.00, 60.00 degrees
Site moments in Bohr magnetons follow the coordinates.
Positions (direct):
Fe  0.000  0.000  0.000  2.93
Co  0.250  0.250  0.250  1.40
Ca  0.500  0.500  0.500  -0.06


#4
Computed, not measured: a geometry-optimized CaFeCo structure at the PBE-GGA level of DFT.

Properties
The density of states at the Fermi level comes out at 1.575 states/eV/atom. The magnetic moment comes out at 4.030 μB/f.u.

Cell lengths 4.449, 4.449, 4.449 Å; angles 60.00, 60.00, 60.00 degrees
Site moments in Bohr magnetons follow the coordinates.
Positions (direct):
Fe  0.500  0.500  0.500  2.84
Co  0.000  0.000  0.000  1.37
Ca  0.250  0.250  0.250  -0.10


Name the most stable of them. #2.


#1
Computed, not measured: a geometry-optimized CaFe3Co structure at the PBE-GGA level of DFT.

Properties
The density of states at the Fermi level comes out at 0.766 states/eV/atom. The magnetic moment comes out at 9.581 μB/f.u.

Cell lengths 4.461, 4.461, 4.461 Å; angles 90.00, 90.00, 90.00 degrees
Site moments in Bohr magnetons follow the coordinates.
Positions (direct):
Fe  0.000  0.000  0.500  3.22
Fe  0.000  0.500  0.000  2.95
Fe  0.500  0.000  0.000  2.31
Co  0.000  0.000  0.000  1.46
Ca  0.500  0.500  0.500  -0.09


#2
Computed, not measured: a geometry-optimized CaFe3Co structure at the PBE-GGA level of DFT.

Properties
The density of states at the Fermi level comes out at 1.776 states/eV/atom. The magnetic moment comes out at 9.103 μB/f.u.

Cell lengths 4.416, 4.416, 4.416 Å; angles 90.00, 90.00, 90.00 degrees
Site moments in Bohr magnetons follow the coordinates.
Positions (direct):
Fe  0.000  0.000  0.500  2.28
Fe  0.000  0.500  0.000  2.49
Fe  0.500  0.000  0.000  2.81
Co  0.500  0.500  0.500  1.96
Ca  0.000  0.000  0.000  -0.21


Name the most stable of them. #1.


#1
Computed, not measured: a geometry-optimized Ca2CoH2 structure at the PBE-GGA level of DFT.

Properties
The density of states at the Fermi level comes out at 0.552 states/eV/atom. The magnetic moment comes out at 1.001 μB/f.u.

Cell lengths 6.761, 6.761, 3.168 Å; angles 90.00, 90.00, 90.00 degrees
Site moments in Bohr magnetons follow the coordinates.
Positions (direct):
Ca  0.679  0.821  0.500  -0.06
Ca  0.821  0.321  0.500  -0.06
Ca  0.321  0.179  0.500  -0.06
Ca  0.179  0.679  0.500  -0.06
H  0.869  0.631  0.000  0.01
H  0.369  0.869  0.000  0.01
H  0.131  0.369  0.000  0.01
H  0.631  0.131  0.000  0.01
Co  0.000  0.000  0.000  1.24
Co  0.500  0.500  0.000  1.24


#2
Computed, not measured: a geometry-optimized Ca2CoH2 structure at the PBE-GGA level of DFT.

Properties
The density of states at the Fermi level comes out at 0.571 states/eV/atom. The magnetic moment comes out at 0.000 μB/f.u.

Cell lengths 4.829, 4.829, 4.928 Å; angles 60.66, 60.66, 90.00 degrees
Positions (direct):
H  0.223  0.223  0.555
H  0.777  0.777  0.445
Ca  0.250  0.750  0.500
Ca  0.750  0.250  0.500
Co  0.000  0.000  0.000


#3
Computed, not measured: a geometry-optimized Ca2CoH2 structure at the PBE-GGA level of DFT.

Properties
The density of states at the Fermi level comes out at 0.909 states/eV/atom. The magnetic moment comes out at 1.068 μB/f.u.

Cell lengths 3.621, 3.621, 6.837 Å; angles 74.64, 74.64, 90.00 degrees
Site moments in Bohr magnetons follow the coordinates.
Positions (direct):
H  0.250  0.750  0.500  0.00
H  0.750  0.250  0.500  0.00
Ca  0.355  0.355  0.290  -0.05
Ca  0.645  0.645  0.710  -0.05
Co  0.000  0.000  0.000  1.51


Name the most stable of them. #2.


#1
Computed, not measured: a geometry-optimized CaCo2H structure at the PBE-GGA level of DFT.

Properties
The density of states at the Fermi level comes out at 2.504 states/eV/atom. The magnetic moment comes out at 2.139 μB/f.u.

Cell lengths 4.255, 4.255, 4.255 Å; angles 60.00, 60.00, 60.00 degrees
Site moments in Bohr magnetons follow the coordinates.
Positions (direct):
Co  0.250  0.250  0.250  1.16
Co  0.750  0.750  0.750  1.16
H  0.000  0.000  0.000  0.01
Ca  0.500  0.500  0.500  -0.08


#2
Computed, not measured: a geometry-optimized CaCo2H structure at the PBE-GGA level of DFT.

Properties
The density of states at the Fermi level comes out at 0.800 states/eV/atom. The magnetic moment comes out at 1.913 μB/f.u.

Cell lengths 5.279, 5.279, 5.278 Å; angles 59.99, 59.99, 90.00 degrees
Site moments in Bohr magnetons follow the coordinates.
Positions (direct):
H  0.500  0.500  0.000  -0.01
H  0.250  0.750  0.500  -0.01
Co  0.375  0.125  0.250  1.21
Co  0.875  0.625  0.750  1.03
Co  0.375  0.625  0.750  1.11
Co  0.375  0.625  0.250  1.15
Ca  0.750  0.250  0.500  -0.09
Ca  0.000  0.000  0.000  -0.09


Name the most stable of them. #2.


#1
Computed, not measured: a geometry-optimized CaCo2H8 structure at the PBE-GGA level of DFT.

Properties
The density of states at the Fermi level comes out at 0.164 states/eV/atom. The magnetic moment comes out at 0.000 μB/f.u.

Cell lengths 4.341, 4.440, 4.440 Å; angles 118.12, 90.23, 90.23 degrees
Positions (direct):
Co  0.591  0.359  0.712
Co  0.591  0.712  0.359
H  0.815  0.566  0.566
H  0.360  0.032  0.612
H  0.368  0.565  0.565
H  0.590  0.320  0.058
H  0.824  0.612  0.036
H  0.824  0.036  0.612
H  0.360  0.612  0.032
H  0.590  0.058  0.320
Ca  0.089  0.095  0.095


#2
Computed, not measured: a geometry-optimized CaCo2H8 structure at the PBE-GGA level of DFT.

Properties
The density of states at the Fermi level comes out at 0.119 states/eV/atom. The magnetic moment comes out at 0.000 μB/f.u.

Cell lengths 3.602, 4.648, 4.648 Å; angles 115.69, 90.07, 90.07 degrees
Positions (direct):
H  0.001  0.029  0.327
H  0.500  0.312  0.688
H  0.500  0.688  0.312
H  0.999  0.971  0.673
H  0.235  0.503  0.503
H  0.999  0.673  0.971
H  0.765  0.497  0.497
H  0.001  0.327  0.029
Co  0.000  0.324  0.676
Co  0.000  0.676  0.324
Ca  0.500  0.000  0.000


Name the most stable of them. #1.


#1
Computed, not measured: a geometry-optimized CaCoH2N structure at the PBE-GGA level of DFT.

Properties
The density of states at the Fermi level comes out at 0.478 states/eV/atom. The magnetic moment comes out at 0.610 μB/f.u.

Cell lengths 3.522, 3.522, 3.649 Å; angles 90.00, 90.00, 90.00 degrees
Site moments in Bohr magnetons follow the coordinates.
Positions (direct):
Co  0.000  0.000  0.000  0.42
H  0.500  0.000  0.000  0.00
H  0.000  0.500  0.000  0.00
Ca  0.500  0.500  0.500  0.02
N  0.000  0.000  0.500  0.12


#2
Computed, not measured: a geometry-optimized CaCoH2N structure at the PBE-GGA level of DFT.

Properties
The density of states at the Fermi level comes out at 0.721 states/eV/atom. The magnetic moment comes out at 2.644 μB/f.u.

Cell lengths 3.303, 6.195, 3.303 Å; angles 90.00, 90.00, 90.00 degrees
Site moments in Bohr magnetons follow the coordinates.
Positions (direct):
Co  0.000  0.000  0.000  1.48
H  0.000  0.000  0.500  -0.02
H  0.500  0.000  0.000  -0.01
N  0.500  0.500  0.500  0.79
Ca  0.000  0.500  0.000  0.01


Name the most stable of them. #1.